Below is a relaxed Sc2ZnRuW crystal, with properties calculated at the PBE level.

## Properties
spin magnetization = 0.10 μB/f.u.
ΔH_f (0 K) = 840 meV/atom
space group = No. 123
E_tot = -31.97 eV for the cell shown

Lattice parameters (Å, degrees): 5.073 4.634 5.073 90.00 90.00 90.00
Each line ends with the local moment (μB).
Sites, in units of the cell vectors:
1 Sc 0.000 0.000 0.500  -0.01
2 Sc 0.500 0.000 0.000  -0.01
3 Ru 0.000 0.500 0.000  0.13
4 Zn 0.500 0.500 0.500  0.00
5 W 0.000 0.000 0.000  -0.01